Record 1
A plane-wave DFT calculation with PBEsol was carried out for a relaxed CaCu2Ge2 crystal.

* ΔE_f: -413 meV/atom

a = 5.818 Å, b = 5.818 Å, c = 5.818 Å
α = 138.88°, β = 138.88°, γ = 59.56°
Element x y z (fractional)
Ca: 0.000 0.000 0.000
Cu: 0.250 0.750 0.500
Cu: 0.750 0.250 0.500
Ge: 0.378 0.378 0.000
Ge: 0.622 0.622 0.000

=====

Record 2
A plane-wave DFT calculation with PBEsol was carried out for a relaxed CaCuGe crystal.

* ΔE_f: -489 meV/atom

a = 7.028 Å, b = 4.278 Å, c = 7.342 Å
α = 90.00°, β = 90.00°, γ = 90.00°
Element x y z (fractional)
Ca: 0.004 0.250 0.200
Ca: 0.496 0.750 0.700
Ca: 0.504 0.250 0.300
Ca: 0.996 0.750 0.800
Cu: 0.183 0.750 0.420
Cu: 0.317 0.250 0.920
Cu: 0.683 0.750 0.080
Cu: 0.817 0.250 0.580
Ge: 0.193 0.250 0.591
Ge: 0.307 0.750 0.091
Ge: 0.693 0.250 0.909
Ge: 0.807 0.750 0.409

=====

Record 3
A plane-wave DFT calculation with PBEsol was carried out for a relaxed CaCuGe crystal.

* ΔE_f: -498 meV/atom

a = 20.952 Å, b = 4.303 Å, c = 7.359 Å
α = 90.00°, β = 90.00°, γ = 90.00°
Element x y z (fractional)
Ca: 0.002 0.250 0.211
Ca: 0.166 0.250 0.294
Ca: 0.167 0.750 0.704
Ca: 0.333 0.250 0.204
Ca: 0.334 0.750 0.794
Ca: 0.498 0.750 0.711
Ca: 0.502 0.250 0.289
Ca: 0.666 0.250 0.206
Ca: 0.667 0.750 0.796
Ca: 0.833 0.250 0.296
Ca: 0.834 0.750 0.706
Ca: 0.998 0.750 0.789
Cu: 0.062 0.750 0.419
Cu: 0.099 0.250 0.915
Cu: 0.234 0.250 0.912
Cu: 0.266 0.750 0.412
Cu: 0.401 0.750 0.415
Cu: 0.438 0.250 0.919
Cu: 0.562 0.750 0.081
Cu: 0.599 0.250 0.585
Cu: 0.734 0.250 0.588
Cu: 0.766 0.750 0.088
Cu: 0.901 0.750 0.085
Cu: 0.938 0.250 0.581
Ge: 0.068 0.250 0.591
Ge: 0.102 0.750 0.086
Ge: 0.230 0.750 0.082
Ge: 0.270 0.250 0.582
Ge: 0.398 0.250 0.586
Ge: 0.432 0.750 0.091
Ge: 0.568 0.250 0.909
Ge: 0.602 0.750 0.414
Ge: 0.730 0.750 0.418
Ge: 0.770 0.250 0.918
Ge: 0.898 0.250 0.914
Ge: 0.932 0.750 0.409

=====

Record 4
A plane-wave DFT calculation with PBEsol was carried out for a relaxed CaCu3Ge4O12 crystal.

* raw formation energy: -1.481 eV per atom

a = 6.261 Å, b = 6.261 Å, c = 6.261 Å
α = 109.47°, β = 109.47°, γ = 109.47°
Element x y z (fractional)
Ca: 0.000 0.000 0.000
Cu: 0.000 0.500 0.500
Cu: 0.500 0.000 0.500
Cu: 0.500 0.500 0.000
Ge: 0.000 0.000 0.500
Ge: 0.000 0.500 0.000
Ge: 0.500 0.000 0.000
Ge: 0.500 0.500 0.500
O: 0.118 0.301 0.817
O: 0.183 0.484 0.301
O: 0.183 0.882 0.699
O: 0.301 0.183 0.484
O: 0.301 0.817 0.118
O: 0.484 0.301 0.183
O: 0.516 0.699 0.817
O: 0.699 0.183 0.882
O: 0.699 0.817 0.516
O: 0.817 0.118 0.301
O: 0.817 0.516 0.699
O: 0.882 0.699 0.183

=====

Record 5
A plane-wave DFT calculation with PBEsol was carried out for a relaxed Ca2CuHgH crystal.

* energy: -13.34 eV for the cell shown

a = 4.794 Å, b = 4.794 Å, c = 4.160 Å
α = 90.00°, β = 90.00°, γ = 90.00°
Element x y z (fractional)
Ca: 0.000 0.500 0.000
Ca: 0.500 0.000 0.000
Cu: 0.000 0.000 0.500
Hg: 0.500 0.500 0.500
H: 0.500 0.500 0.000

=====

Record 6
A plane-wave DFT calculation with PBEsol was carried out for a relaxed CaCu2Hg crystal.

* ΔE_f: -82 meV/atom

a = 3.290 Å, b = 3.290 Å, c = 6.633 Å
α = 90.00°, β = 90.00°, γ = 90.00°
Element x y z (fractional)
Ca: 0.000 0.000 0.000
Cu: 0.000 0.000 0.440
Cu: 0.500 0.500 0.289
Hg: 0.500 0.500 0.684

=====

Record 7
A plane-wave DFT calculation with PBEsol was carried out for a relaxed Ca2CuHg crystal.

* ΔE_f: -287 meV/atom

a = 3.597 Å, b = 3.597 Å, c = 7.280 Å
α = 90.00°, β = 90.00°, γ = 90.00°
Element x y z (fractional)
Ca: 0.000 0.000 0.236
Ca: 0.000 0.000 0.764
Cu: 0.500 0.500 0.000
Hg: 0.500 0.500 0.500

=====

Record 8
A plane-wave DFT calculation with PBEsol was carried out for a relaxed Ca2CuHg crystal.

* ΔE_f: -311 meV/atom

a = 4.513 Å, b = 5.915 Å, c = 5.915 Å
α = 39.74°, β = 90.00°, γ = 90.00°
Element x y z (fractional)
Ca: 0.000 0.000 0.000
Ca: 0.500 0.289 0.289
Cu: 0.000 0.713 0.713
Hg: 0.500 0.576 0.576

=====

Record 9
A plane-wave DFT calculation with PBEsol was carried out for a relaxed CaCu2Hg crystal.

* ΔE_f: -2 meV/atom

a = 4.672 Å, b = 4.672 Å, c = 4.672 Å
α = 60.00°, β = 60.00°, γ = 60.00°
Element x y z (fractional)
Ca: 0.000 0.000 0.000
Cu: 0.250 0.250 0.250
Cu: 0.500 0.500 0.500
Hg: 0.750 0.750 0.750

=====

Record 10
A plane-wave DFT calculation with PBEsol was carried out for a relaxed KCaCuHg2 crystal.

* ΔE_f: 757 meV/atom

a = 5.817 Å, b = 5.817 Å, c = 7.063 Å
α = 90.00°, β = 90.00°, γ = 90.00°
Element x y z (fractional)
K: 0.000 0.000 0.000
Ca: 0.000 0.000 0.500
Cu: 0.500 0.500 0.000
Hg: 0.000 0.500 0.500
Hg: 0.500 0.000 0.500

=====

Record 11
A plane-wave DFT calculation with PBEsol was carried out for a relaxed CaCuIO2 crystal.

* raw formation energy: -0.255 eV per atom

a = 4.184 Å, b = 4.184 Å, c = 6.474 Å
α = 90.00°, β = 90.00°, γ = 90.00°
Element x y z (fractional)
Ca: 0.000 0.000 0.000
Cu: 0.500 0.500 0.500
I: 0.000 0.000 0.500
O: 0.000 0.500 0.000
O: 0.500 0.000 0.000

=====

Record 12
A plane-wave DFT calculation with PBEsol was carried out for a relaxed CaCuSb2I crystal.

* raw formation energy: -0.086 eV per atom

a = 4.904 Å, b = 4.904 Å, c = 6.091 Å
α = 90.00°, β = 90.00°, γ = 90.00°
Element x y z (fractional)
Ca: 0.000 0.000 0.000
Cu: 0.500 0.500 0.500
Sb: 0.000 0.500 0.500
Sb: 0.500 0.000 0.500
I: 0.500 0.500 0.000

=====

Record 13
A plane-wave DFT calculation with PBEsol was carried out for a relaxed CaZr2CuI crystal.

* raw formation energy: 0.968 eV per atom

a = 5.198 Å, b = 5.198 Å, c = 5.518 Å
α = 90.00°, β = 90.00°, γ = 90.00°
Element x y z (fractional)
Ca: 0.000 0.000 0.000
Zr: 0.000 0.500 0.500
Zr: 0.500 0.000 0.500
Cu: 0.500 0.500 0.000
I: 0.000 0.000 0.500

=====

Record 14
A plane-wave DFT calculation with PBEsol was carried out for a relaxed CaIn2Cu2 crystal.

* ΔE_f: -183 meV/atom

a = 6.268 Å, b = 6.268 Å, c = 6.268 Å
α = 139.78°, β = 139.78°, γ = 58.18°
Element x y z (fractional)
Ca: 0.000 0.000 0.000
In: 0.250 0.750 0.500
In: 0.750 0.250 0.500
Cu: 0.392 0.392 0.000
Cu: 0.608 0.608 0.000

=====

Record 15
A plane-wave DFT calculation with PBEsol was carried out for a relaxed CaInCu2 crystal.

* ΔE_f: -71 meV/atom

a = 3.242 Å, b = 3.242 Å, c = 7.010 Å
α = 90.00°, β = 90.00°, γ = 90.00°
Element x y z (fractional)
Ca: 0.000 0.000 0.000
In: 0.500 0.500 0.659
Cu: 0.000 0.000 0.427
Cu: 0.500 0.500 0.279

=====

Record 16
A plane-wave DFT calculation with PBEsol was carried out for a relaxed CaIn2Cu crystal.

* ΔE_f: -223 meV/atom

a = 6.140 Å, b = 6.140 Å, c = 6.140 Å
α = 42.21°, β = 42.21°, γ = 42.21°
Element x y z (fractional)
Ca: 0.000 0.000 0.000
In: 0.216 0.216 0.216
In: 0.784 0.784 0.784
Cu: 0.500 0.500 0.500

=====

Record 17
A plane-wave DFT calculation with PBEsol was carried out for a relaxed CaInCu2 crystal.

* ΔE_f: 49 meV/atom

a = 4.677 Å, b = 4.677 Å, c = 4.677 Å
α = 60.00°, β = 60.00°, γ = 60.00°
Element x y z (fractional)
Ca: 0.000 0.000 0.000
In: 0.750 0.750 0.750
Cu: 0.250 0.250 0.250
Cu: 0.500 0.500 0.500

=====

Record 18
A plane-wave DFT calculation with PBEsol was carried out for a relaxed CaIn2Cu crystal.

* ΔE_f: -355 meV/atom

a = 5.736 Å, b = 5.736 Å, c = 7.422 Å
α = 90.00°, β = 90.00°, γ = 135.18°
Element x y z (fractional)
Ca: 0.067 0.933 0.750
Ca: 0.933 0.067 0.250
In: 0.357 0.643 0.551
In: 0.357 0.643 0.949
In: 0.643 0.357 0.051
In: 0.643 0.357 0.449
Cu: 0.217 0.783 0.250
Cu: 0.783 0.217 0.750

=====

Record 19
A plane-wave DFT calculation with PBEsol was carried out for a relaxed CaInCu2 crystal.

* ΔE_f: -132 meV/atom

a = 5.759 Å, b = 5.759 Å, c = 5.759 Å
α = 43.44°, β = 43.44°, γ = 43.44°
Element x y z (fractional)
Ca: 0.000 0.000 0.000
In: 0.198 0.198 0.198
Cu: 0.461 0.461 0.461
Cu: 0.796 0.796 0.796

=====

Record 20
A plane-wave DFT calculation with PBEsol was carried out for a relaxed CaIn2Cu crystal.

* ΔE_f: -115 meV/atom

a = 3.480 Å, b = 3.480 Å, c = 7.335 Å
α = 90.00°, β = 90.00°, γ = 90.00°
Element x y z (fractional)
Ca: 0.000 0.000 0.000
In: 0.000 0.000 0.430
In: 0.500 0.500 0.698
Cu: 0.500 0.500 0.265

=====

Record 21
A plane-wave DFT calculation with PBEsol was carried out for a relaxed CaCu3Ir crystal.

* ΔE_f: 1827 meV/atom

a = 4.388 Å, b = 4.388 Å, c = 4.388 Å
α = 90.00°, β = 90.00°, γ = 90.00°
Element x y z (fractional)
Ca: 0.000 0.000 0.000
Cu: 0.000 0.000 0.500
Cu: 0.000 0.500 0.000
Cu: 0.500 0.000 0.000
Ir: 0.500 0.500 0.500

=====

Record 22
A plane-wave DFT calculation with PBEsol was carried out for a relaxed Ca2CuIr crystal.

* ΔE_f: 207 meV/atom

a = 3.085 Å, b = 4.888 Å, c = 5.582 Å
α = 90.00°, β = 90.00°, γ = 90.00°
Element x y z (fractional)
Ca: 0.000 0.000 0.000
Ca: 0.500 0.500 0.500
Cu: 0.000 0.000 0.500
Ir: 0.500 0.500 0.000

=====

Record 23
A plane-wave DFT calculation with PBEsol was carried out for a relaxed CaCu2Ir crystal.

* ΔE_f: 89 meV/atom
* energy above the lowest structure with this stoichiometry: 0.0071 eV per atom

a = 4.231 Å, b = 4.231 Å, c = 3.336 Å
α = 90.00°, β = 90.00°, γ = 90.12°
Element x y z (fractional)
Ca: 0.000 0.000 0.000
Cu: 0.000 0.500 0.500
Cu: 0.500 0.000 0.500
Ir: 0.500 0.500 0.000

=====

Record 24
A plane-wave DFT calculation with PBEsol was carried out for a relaxed Ca2CuIr crystal.

* ΔE_f: -75 meV/atom

a = 5.581 Å, b = 5.581 Å, c = 4.915 Å
α = 106.19°, β = 106.19°, γ = 33.35°
Element x y z (fractional)
Ca: 0.000 0.000 0.000
Ca: 0.199 0.199 0.641
Cu: 0.429 0.429 0.437
Ir: 0.752 0.752 0.171

=====

Record 25
A plane-wave DFT calculation with PBEsol was carried out for a relaxed CaCu2Ir crystal.

* ΔE_f: 82 meV/atom
* energy above the lowest structure with this stoichiometry: 0.0000 eV per atom

a = 4.408 Å, b = 4.408 Å, c = 4.408 Å
α = 60.00°, β = 60.00°, γ = 60.00°
Element x y z (fractional)
Ca: 0.000 0.000 0.000
Cu: 0.250 0.250 0.250
Cu: 0.750 0.750 0.750
Ir: 0.500 0.500 0.500

=====

Record 26
A plane-wave DFT calculation with PBEsol was carried out for a relaxed KCaCuIr2 crystal.

* ΔE_f: 893 meV/atom

a = 4.649 Å, b = 4.649 Å, c = 4.947 Å
α = 90.00°, β = 90.00°, γ = 90.00°
Element x y z (fractional)
K: 0.000 0.000 0.000
Ca: 0.500 0.500 0.000
Cu: 0.000 0.000 0.500
Ir: 0.000 0.500 0.500
Ir: 0.500 0.000 0.500